Entry from Alexandria via LeMat-Bulk: a geometry-optimized VCdNO2 structure (PBE+U).

Unit cell a=3.7510 b=3.7510 c=4.0176 alpha=90.00 beta=90.00 gamma=90.00
Space group P4/mmm (No. 123)
One atom of each set of equivalent atoms:
1 V 0.0000 0.0000 0.0000
2 Cd 0.5000 0.5000 0.5000
3 N 0.0000 0.0000 0.5000
4 O 0.0000 0.5000 0.0000

Computed properties:
uncorrected energy = -5.985 eV per atom